This record from OQMD describes a relaxed structure of CuAg5. The functional is PBE-GGA.

```
CuAg5
1.0
-4.844 2.197 -3.572
-4.778 -0.604 -4.225
-2.561 -1.242 5.064
Ag Cu
5 1
Cartesian
-7.218 0.653 -3.526 Ag
-4.966 -0.302 0.794 Ag
-3.672 0.337 -1.816 Ag
-8.511 0.013 -0.916 Ag
-1.281 -0.621 2.532 Ag
0.000 0.000 0.000 Cu
```

Summary:
Space group ... No. 12
Energy above the most stable polymorph in this dataset ... 0.016 eV per atom
Energy relative to the elements ... 0.05 eV/atom
DFT total energy ... -2.924 eV per atom

This record from OQMD describes a relaxed structure of Cu3Ag2. The functional is PBE-GGA.

```
Cu3Ag2
1.0
-2.374 1.644 3.630
0.932 -2.110 1.565
9.234 5.782 2.294
Ag Cu
4 6
Cartesian
0.195 1.537 4.437 Ag
4.414 3.591 4.694 Ag
7.596 3.780 3.053 Ag
3.378 1.725 2.796 Ag
-0.721 -0.233 2.598 Cu
5.050 3.775 2.080 Cu
1.809 3.651 3.844 Cu
0.000 0.000 0.000 Cu
0.787 1.699 1.821 Cu
6.072 5.727 4.103 Cu
```

Summary:
Space group ... No. 10
Energy above the most stable polymorph in this dataset ... 0.056 eV per atom
Energy relative to the elements ... 0.10 eV/atom
DFT total energy ... -3.262 eV per atom

This record from OQMD describes a relaxed structure of CuAg. The functional is PBE-GGA.

```
CuAg
1.0
-4.489 3.217 -2.965
3.484 -4.630 -2.391
-2.585 -2.542 1.155
Cu Ag
4 4
Cartesian
-0.730 -1.026 -3.891 Cu
-0.275 -0.386 -1.465 Cu
-2.697 -1.089 -2.165 Cu
-0.893 -2.865 -2.035 Cu
-4.824 1.004 -2.318 Ag
1.234 -4.958 -1.882 Ag
1.742 -2.315 -1.195 Ag
-2.244 1.609 -1.482 Ag
```

Summary:
Space group ... No. 65
Energy relative to the elements ... 0.10 eV/atom
DFT total energy ... -3.174 eV per atom

This record from OQMD describes a relaxed structure of CuAg. The functional is PBE-GGA.

```
CuAg
1.0
6.769 0.000 0.000
0.000 2.782 0.000
-1.860 0.000 7.817
Ag Cu
5 5
Cartesian
0.088 0.000 2.394 Ag
4.821 0.000 5.422 Ag
2.454 0.000 3.908 Ag
2.439 1.391 1.352 Ag
2.470 1.391 6.464 Ag
0.191 0.000 6.923 Cu
4.646 1.391 3.059 Cu
0.263 1.391 4.758 Cu
4.718 0.000 0.893 Cu
0.000 1.391 0.000 Cu
```

Summary:
Space group ... No. 10
Energy relative to the elements ... 0.09 eV/atom
DFT total energy ... -3.182 eV per atom

This record from OQMD describes a relaxed structure of Cu5Ag3. The functional is PBE-GGA.

```
Cu5Ag3
1.0
-0.082 0.458 2.752
2.040 -2.850 0.535
9.387 6.565 -0.813
Cu Ag
5 3
Cartesian
4.721 1.163 -0.053 Cu
9.175 4.278 -0.439 Cu
7.096 5.220 0.758 Cu
4.652 3.511 0.969 Cu
9.126 6.640 0.582 Cu
2.423 1.952 1.162 Ag
2.025 -0.722 0.181 Ag
6.940 2.715 -0.245 Ag
```

Summary:
Space group ... No. 25
Energy above the most stable polymorph in this dataset ... 0.034 eV per atom
Energy relative to the elements ... 0.08 eV/atom
DFT total energy ... -3.301 eV per atom

This record from OQMD describes a relaxed structure of CuAg. The functional is PBE-GGA.

```
CuAg
1.0
2.787 0.000 0.000
1.393 2.416 0.000
0.011 0.002 13.359
Ag Cu
3 3
Cartesian
2.543 1.736 4.487 Ag
1.120 0.932 1.999 Ag
2.536 0.098 6.977 Ag
1.129 0.882 9.202 Cu
2.538 0.117 13.131 Cu
2.529 1.701 11.165 Cu
```

Summary:
Space group ... No. 1
Energy relative to the elements ... 0.09 eV/atom
DFT total energy ... -3.178 eV per atom

This record from OQMD describes a relaxed structure of CuAg. The functional is PBE-GGA.

```
CuAg
1.0
4.584 -1.396 0.000
4.584 1.396 0.000
-2.239 0.000 11.591
Cu Ag
5 5
Cartesian
0.107 0.000 0.054 Cu
5.073 0.000 2.190 Cu
-0.676 0.000 8.172 Cu
3.483 0.000 5.931 Cu
4.299 0.000 10.321 Cu
5.989 0.000 7.018 Ag
7.613 0.000 3.444 Ag
2.573 0.000 0.992 Ag
1.832 0.000 9.429 Ag
0.891 0.000 4.609 Ag
```

Summary:
Space group ... No. 8
Energy relative to the elements ... 0.10 eV/atom
DFT total energy ... -3.171 eV per atom

This record from OQMD describes a relaxed structure of Cu4Ag3. The functional is PBE-GGA.

```
Cu4Ag3
1.0
-1.399 1.782 10.181
1.399 -1.782 10.181
1.399 1.782 -10.181
Cu Ag
4 3
Cartesian
0.000 0.000 2.747 Cu
0.000 0.000 11.680 Cu
0.000 0.000 0.261 Cu
0.000 0.000 5.685 Cu
0.000 0.000 8.946 Ag
0.000 0.000 14.414 Ag
0.000 0.000 17.355 Ag
```

Summary:
Space group ... No. 44
Energy above the most stable polymorph in this dataset ... 0.036 eV per atom
Energy relative to the elements ... 0.08 eV/atom
DFT total energy ... -3.250 eV per atom

This record from OQMD describes a relaxed structure of Cu5Ag3. The functional is PBE-GGA.

```
Cu5Ag3
1.0
-0.846 1.821 -1.925
-3.316 -1.492 0.045
-3.084 7.094 8.069
Ag Cu
3 5
Cartesian
-3.943 4.512 6.004 Ag
-2.456 1.090 2.111 Ag
-1.658 -0.746 0.023 Ag
-3.108 7.087 6.063 Cu
-0.822 1.829 0.082 Cu
-2.306 5.243 3.966 Cu
-1.624 3.673 2.179 Cu
-3.200 2.801 4.057 Cu
```

Summary:
Space group ... No. 47
Energy above the most stable polymorph in this dataset ... 0.045 eV per atom
Energy relative to the elements ... 0.09 eV/atom
DFT total energy ... -3.291 eV per atom

This record from OQMD describes a relaxed structure of Cu4Ag5. The functional is PBE-GGA.

```
Cu4Ag5
1.0
5.492 -1.437 0.000
5.492 1.437 0.000
-2.413 0.000 8.716
Ag Cu
5 4
Cartesian
9.295 0.000 5.871 Ag
-0.699 0.000 3.168 Ag
3.627 0.000 0.897 Ag
6.727 0.000 1.610 Ag
2.332 0.000 3.845 Ag
1.693 0.000 6.870 Cu
5.984 0.000 5.195 Cu
5.243 0.000 7.720 Cu
8.650 0.000 8.404 Cu
```

Summary:
Space group ... No. 8
Energy above the most stable polymorph in this dataset ... 0.034 eV per atom
Energy relative to the elements ... 0.07 eV/atom
DFT total energy ... -3.150 eV per atom

This record from OQMD describes a relaxed structure of Cu7Ag2. The functional is PBE-GGA.

```
Cu7Ag2
1.0
-4.341 1.489 -0.068
-3.660 0.899 -2.619
0.679 -10.561 2.624
Cu Ag
7 2
Cartesian
-5.573 -2.430 -0.925 Cu
-1.748 -5.742 0.862 Cu
-4.278 -8.612 0.850 Cu
-3.661 -4.086 -0.032 Cu
-1.146 -1.315 -0.002 Cu
-3.043 0.440 -0.914 Cu
-6.176 -6.857 -0.062 Cu
0.031 -7.532 1.750 Ag
-7.353 -0.640 -1.814 Ag
```

Summary:
Space group ... No. 12
Energy above the most stable polymorph in this dataset ... 0.032 eV per atom
Energy relative to the elements ... 0.08 eV/atom
DFT total energy ... -3.440 eV per atom

This record from OQMD describes a relaxed structure of CuAg2. The functional is PBE-GGA.

```
CuAg2
1.0
-4.622 -2.038 -3.498
-4.030 -4.259 -1.836
-3.998 3.919 6.662
Cu Ag
3 6
Cartesian
-6.542 -3.359 -2.159 Cu
-0.068 0.019 0.050 Cu
-8.058 -2.001 0.195 Cu
-6.033 0.954 3.424 Ag
-4.468 -0.290 1.204 Ag
-3.383 -1.677 -1.036 Ag
-1.497 1.214 2.156 Ag
-9.276 -0.647 2.440 Ag
-11.273 -3.725 -0.963 Ag
```

Summary:
Space group ... No. 8
Energy above the most stable polymorph in this dataset ... 0.046 eV per atom
Energy relative to the elements ... 0.08 eV/atom
DFT total energy ... -3.045 eV per atom

This record from OQMD describes a relaxed structure of Cu4Ag5. The functional is PBE-GGA.

```
Cu4Ag5
1.0
-1.417 4.244 5.700
1.417 -4.244 5.700
1.417 4.244 -5.700
Ag Cu
5 4
Cartesian
1.417 0.000 0.000 Ag
0.000 1.453 5.700 Ag
1.417 2.791 0.000 Ag
1.417 0.000 3.642 Ag
0.000 4.244 2.059 Ag
0.000 7.011 1.932 Cu
1.417 -2.767 3.769 Cu
0.000 1.477 1.932 Cu
1.417 2.767 3.769 Cu
```

Summary:
Space group ... No. 71
Energy above the most stable polymorph in this dataset ... 0.054 eV per atom
Energy relative to the elements ... 0.09 eV/atom
DFT total energy ... -3.129 eV per atom

This record from OQMD describes a relaxed structure of CuAg. The functional is PBE-GGA.

```
CuAg
1.0
-0.110 -2.595 1.246
2.877 -0.050 0.147
-0.554 6.230 12.925
Ag Cu
4 4
Cartesian
-0.392 4.555 9.526 Ag
0.895 4.149 12.135 Ag
1.061 2.313 8.305 Ag
-0.018 0.174 0.427 Ag
-0.131 1.603 3.359 Cu
-0.251 2.854 5.965 Cu
1.306 -0.354 2.751 Cu
1.190 0.906 5.359 Cu
```

Summary:
Space group ... No. 1
Energy relative to the elements ... 0.04 eV/atom
DFT total energy ... -3.229 eV per atom

This record from OQMD describes a relaxed structure of Cu3Ag2. The functional is PBE-GGA.

```
Cu3Ag2
1.0
11.110 -1.387 0.000
11.110 1.387 0.000
-0.414 0.000 4.669
Cu Ag
6 4
Cartesian
0.052 0.000 0.082 Cu
10.854 0.000 2.230 Cu
17.466 0.000 2.821 Cu
20.014 0.000 1.392 Cu
4.240 0.000 1.872 Cu
13.209 0.000 0.926 Cu
1.794 0.000 3.212 Ag
6.715 0.000 0.569 Ag
15.154 0.000 4.215 Ag
8.629 0.000 3.692 Ag
```

Summary:
Space group ... No. 8
Energy above the most stable polymorph in this dataset ... 0.059 eV per atom
Energy relative to the elements ... 0.10 eV/atom
DFT total energy ... -3.259 eV per atom

This record from OQMD describes a relaxed structure of Cu3Ag2. The functional is PBE-GGA.

```
Cu3Ag2
1.0
7.353 -1.404 0.000
7.353 1.404 0.000
-1.810 0.000 6.932
Ag Cu
4 6
Cartesian
2.941 0.000 0.575 Ag
8.283 0.000 1.957 Ag
13.699 0.000 3.507 Ag
1.836 0.000 4.327 Ag
11.102 0.000 2.803 Cu
7.169 0.000 5.638 Cu
10.373 0.000 6.289 Cu
12.798 0.000 6.823 Cu
4.533 0.000 4.873 Cu
5.548 0.000 1.332 Cu
```

Summary:
Space group ... No. 8
Energy above the most stable polymorph in this dataset ... 0.046 eV per atom
Energy relative to the elements ... 0.09 eV/atom
DFT total energy ... -3.272 eV per atom

This record from OQMD describes a relaxed structure of Cu3Ag2. The functional is PBE-GGA.

```
Cu3Ag2
1.0
9.487 -1.389 0.000
9.487 1.389 0.000
-0.790 0.000 5.444
Ag Cu
4 6
Cartesian
7.074 0.000 3.947 Ag
-0.328 0.000 2.663 Ag
14.847 0.000 2.192 Ag
3.629 0.000 0.462 Ag
14.426 0.000 4.896 Cu
11.181 0.000 1.641 Cu
3.202 0.000 3.267 Cu
10.712 0.000 4.325 Cu
0.152 0.000 0.062 Cu
7.451 0.000 1.046 Cu
```

Summary:
Space group ... No. 8
Energy above the most stable polymorph in this dataset ... 0.063 eV per atom
Energy relative to the elements ... 0.11 eV/atom
DFT total energy ... -3.255 eV per atom

This record from OQMD describes a relaxed structure of Cu3Ag2. The functional is PBE-GGA.

```
Cu3Ag2
1.0
8.842 -1.402 0.000
8.842 1.402 0.000
-0.955 0.000 5.770
Cu Ag
6 4
Cartesian
6.099 0.000 5.684 Cu
2.750 0.000 4.962 Cu
10.629 0.000 0.087 Cu
6.570 0.000 2.377 Cu
13.978 0.000 0.808 Cu
10.158 0.000 3.394 Cu
3.105 0.000 1.958 Ag
13.623 0.000 3.812 Ag
16.785 0.000 4.278 Ag
-0.057 0.000 1.493 Ag
```

Summary:
Space group ... No. 12
Energy above the most stable polymorph in this dataset ... 0.044 eV per atom
Energy relative to the elements ... 0.09 eV/atom
DFT total energy ... -3.274 eV per atom

This record from OQMD describes a relaxed structure of CuAg. The functional is PBE-GGA.

```
CuAg
1.0
-2.462 3.653 -2.041
-3.982 2.772 0.175
5.962 4.331 5.809
Ag Cu
4 4
Cartesian
0.350 8.566 3.643 Ag
-0.832 2.190 0.300 Ag
1.472 1.239 1.502 Ag
-1.954 9.517 2.441 Ag
2.111 4.120 3.084 Cu
-3.222 3.213 -0.933 Cu
-2.593 6.636 0.858 Cu
-0.241 5.378 1.971 Cu
```

Summary:
Space group ... No. 12
Energy relative to the elements ... 0.09 eV/atom
DFT total energy ... -3.180 eV per atom

This record from OQMD describes a relaxed structure of CuAg2. The functional is PBE-GGA.

```
CuAg2
1.0
2.846 0.000 0.000
-1.423 2.465 0.000
0.000 0.000 20.478
Ag Cu
6 3
Cartesian
0.000 1.643 1.223 Ag
1.423 0.822 19.255 Ag
0.000 0.000 16.807 Ag
0.000 1.643 14.354 Ag
1.423 0.822 6.124 Ag
0.000 0.000 3.671 Ag
0.000 0.000 10.239 Cu
1.423 0.822 12.162 Cu
0.000 1.643 8.316 Cu
```

Summary:
Space group ... No. 164
Energy above the most stable polymorph in this dataset ... 0.038 eV per atom
Energy relative to the elements ... 0.07 eV/atom
DFT total energy ... -3.053 eV per atom